[1]
Computed, not measured: LiScNF2 at its PBEsol-relaxed geometry at the SCAN level of DFT.

Cell and atoms, written as POSCAR:
```
LiScNF2
1.0
3.396 0.000 0.000
0.000 3.396 0.000
0.000 0.000 4.087
Li Sc N F
1 1 1 2
Cartesian
0.000 0.000 0.000
1.698 1.698 2.044
0.000 0.000 2.044
0.000 1.698 0.000
1.698 0.000 0.000
```

The raw formation energy is -2.12 eV/atom. The value obtained for the electronic total energy is -8.72 eV/atom. As for the total magnetization: 1.0 Bohr magnetons per cell. Its space group is P4/mmm (123).


[2]
Computed, not measured: LiSe2NF at its PBEsol-relaxed geometry at the SCAN level of DFT.

Cell and atoms, written as POSCAR:
```
LiSe2NF
1.0
4.384 0.000 0.000
0.000 4.384 0.000
0.000 0.000 4.809
Li Se N F
1 2 1 1
Cartesian
0.000 0.000 0.000
0.000 2.192 2.405
2.192 0.000 2.405
2.192 2.192 0.000
2.192 2.192 2.405
```

The raw formation energy is 0.64 eV/atom. The value obtained for the electronic total energy is -10.44 eV/atom. As for the total magnetization: 3.0 Bohr magnetons per cell. Its space group is P4/mmm (123).


[3]
Computed, not measured: LiSnN2F at its PBEsol-relaxed geometry at the SCAN level of DFT.

Cell and atoms, written as POSCAR:
```
LiSnN2F
1.0
3.727 0.000 0.000
0.000 3.727 0.000
0.000 0.000 3.538
Li Sn N F
1 1 2 1
Cartesian
0.000 0.000 0.000
1.863 1.863 1.769
0.000 1.863 0.000
1.863 0.000 0.000
0.000 0.000 1.769
```

The raw formation energy is 0.45 eV/atom. The value obtained for the electronic total energy is -11.64 eV/atom. As for the total magnetization: 0.0 Bohr magnetons per cell. Its space group is P4/mmm (123).


[4]
Computed, not measured: LiSnNF2 at its PBEsol-relaxed geometry at the SCAN level of DFT.

Cell and atoms, written as POSCAR:
```
LiSnNF2
1.0
4.296 0.000 0.000
0.000 4.296 0.000
0.000 0.000 3.838
Li Sn N F
1 1 1 2
Cartesian
0.000 0.000 0.000
2.148 2.148 1.919
2.148 2.148 0.000
0.000 2.148 1.919
2.148 0.000 1.919
```

The raw formation energy is -1.25 eV/atom. The value obtained for the electronic total energy is -12.19 eV/atom. As for the total magnetization: 0.0 Bohr magnetons per cell. Its space group is P4/mmm (123).


[5]
Computed, not measured: Sr2LiTaN3F at its PBEsol-relaxed geometry at the SCAN level of DFT.

Cell and atoms, written as POSCAR:
```
Sr2LiTaN3F
1.0
5.549 0.000 0.000
0.000 15.803 0.000
0.000 0.000 10.738
Sr Li Ta N F
16 8 8 24 8
Cartesian
1.154 1.347 0.544
1.154 6.555 5.913
1.207 3.401 3.967
1.207 4.500 9.336
1.567 11.303 3.967
1.567 12.402 9.336
1.620 9.248 0.544
1.620 14.457 5.913
3.928 1.347 4.825
3.928 6.555 10.194
3.982 3.401 1.402
3.982 4.500 6.771
4.342 11.303 1.402
4.342 12.402 6.771
4.395 9.248 4.825
4.395 14.457 10.194
1.167 0.334 3.586
1.167 7.567 8.955
1.607 8.236 3.586
1.607 15.469 8.955
3.941 0.334 1.783
3.941 7.567 7.152
4.382 8.236 1.783
4.382 15.469 7.152
0.925 2.124 7.035
0.925 5.778 1.666
1.850 10.025 7.035
1.850 13.679 1.666
3.699 2.124 9.072
3.699 5.778 3.703
4.624 10.025 9.072
4.624 13.679 3.703
1.002 9.678 8.823
1.002 14.027 3.454
1.078 3.919 1.261
1.078 3.983 6.630
1.373 9.091 5.424
1.373 14.614 0.055
1.401 1.189 5.424
1.401 6.712 0.055
1.696 11.821 1.261
1.696 11.884 6.630
1.773 1.776 8.823
1.773 6.125 3.454
3.776 9.678 7.284
3.776 14.027 1.915
3.853 3.919 4.108
3.853 3.983 9.477
4.148 9.091 10.683
4.148 14.614 5.314
4.175 1.189 10.683
4.175 6.712 5.314
4.470 11.821 4.108
4.470 11.884 9.477
4.547 1.776 7.284
4.547 6.125 1.915
0.223 9.208 2.631
0.223 14.496 8.000
2.551 1.307 2.631
2.551 6.595 8.000
2.997 9.208 2.738
2.997 14.496 8.107
5.326 1.307 2.738
5.326 6.595 8.107
```

The raw formation energy is -1.85 eV/atom. The value obtained for the electronic total energy is -19.96 eV/atom. As for the total magnetization: 0.0 Bohr magnetons per cell. Its space group is Pbca (61).


[6]
Computed, not measured: LiTcN2F at its PBEsol-relaxed geometry at the SCAN level of DFT.

Cell and atoms, written as POSCAR:
```
LiTcN2F
1.0
3.690 0.000 0.000
0.000 3.690 0.000
0.000 0.000 3.167
Li Tc N F
1 1 2 1
Cartesian
0.000 0.000 0.000
1.845 1.845 1.583
0.000 1.845 0.000
1.845 0.000 0.000
0.000 0.000 1.583
```

The raw formation energy is 0.63 eV/atom. The value obtained for the electronic total energy is -11.28 eV/atom. As for the total magnetization: 0.9 Bohr magnetons per cell. Its space group is P4/mmm (123).


[7]
Computed, not measured: LiTcNF2 at its PBEsol-relaxed geometry at the SCAN level of DFT.

Cell and atoms, written as POSCAR:
```
LiTcNF2
1.0
4.080 0.000 0.000
0.000 4.080 0.000
0.000 0.000 3.750
Li Tc N F
1 1 1 2
Cartesian
0.000 0.000 0.000
2.040 2.040 1.875
2.040 2.040 0.000
0.000 2.040 1.875
2.040 0.000 1.875
```

The raw formation energy is -1.27 eV/atom. The value obtained for the electronic total energy is -12.04 eV/atom. As for the total magnetization: 0.0 Bohr magnetons per cell. Its space group is P4/mmm (123).


[8]
Computed, not measured: LiTiN2F at its PBEsol-relaxed geometry at the SCAN level of DFT.

Cell and atoms, written as POSCAR:
```
LiTiN2F
1.0
3.540 0.000 0.000
0.000 3.540 0.000
0.000 0.000 3.314
Li Ti N F
1 1 2 1
Cartesian
0.000 0.000 0.000
1.770 1.770 1.657
0.000 1.770 0.000
1.770 0.000 0.000
0.000 0.000 1.657
```

The raw formation energy is -0.21 eV/atom. The value obtained for the electronic total energy is -8.31 eV/atom. As for the relative energy among the computed polymorphs: 804 meV per atom. As for the total magnetization: 0.9 Bohr magnetons per cell. Its space group is P4/mmm (123).


[9]
Computed, not measured: LiTiN2F at its PBEsol-relaxed geometry at the SCAN level of DFT.

Cell and atoms, written as POSCAR:
```
LiTiN2F
1.0
3.848 0.000 0.000
0.000 3.848 0.000
0.000 0.000 4.026
Li Ti N F
1 1 2 1
Cartesian
0.000 0.000 0.000
1.924 1.924 2.013
0.000 1.924 2.013
1.924 0.000 2.013
1.924 1.924 0.000
```

The raw formation energy is -1.01 eV/atom. The value obtained for the electronic total energy is -9.12 eV/atom. As for the relative energy among the computed polymorphs: 0 meV per atom. As for the total magnetization: 0.0 Bohr magnetons per cell. Its space group is P4/mmm (123).


[10]
Computed, not measured: LiTlNF2 at its PBEsol-relaxed geometry at the SCAN level of DFT.

Cell and atoms, written as POSCAR:
```
LiTlNF2
1.0
4.610 0.000 0.000
0.000 4.610 0.000
0.000 0.000 4.039
Li Tl N F
1 1 1 2
Cartesian
0.000 0.000 0.000
2.305 2.305 2.020
2.305 2.305 0.000
0.000 2.305 2.020
2.305 0.000 2.020
```

The raw formation energy is -0.66 eV/atom. The value obtained for the electronic total energy is -18.88 eV/atom. As for the total magnetization: 1.0 Bohr magnetons per cell. Its space group is P4/mmm (123).


[11]
Computed, not measured: LiWN2F at its PBEsol-relaxed geometry at the SCAN level of DFT.

Cell and atoms, written as POSCAR:
```
LiWN2F
1.0
3.904 0.000 0.000
0.000 3.904 0.000
0.000 0.000 4.027
Li W N F
1 1 2 1
Cartesian
0.000 0.000 0.000
1.952 1.952 2.014
0.000 1.952 2.014
1.952 0.000 2.014
1.952 1.952 0.000
```

The raw formation energy is -0.77 eV/atom. The value obtained for the electronic total energy is -19.61 eV/atom. As for the total magnetization: 0.0 Bohr magnetons per cell. Its space group is P4/mmm (123).


[12]
Computed, not measured: LiZnN2F at its PBEsol-relaxed geometry at the SCAN level of DFT.

Cell and atoms, written as POSCAR:
```
LiZnN2F
1.0
3.803 0.000 0.000
0.000 3.803 0.000
0.000 0.000 4.293
Li Zn N F
1 1 2 1
Cartesian
0.000 0.000 0.000
1.902 1.902 2.146
0.000 1.902 2.146
1.902 0.000 2.146
1.902 1.902 0.000
```

The raw formation energy is 0.27 eV/atom. The value obtained for the electronic total energy is -7.34 eV/atom. As for the total magnetization: 3.4 Bohr magnetons per cell. Its space group is P4/mmm (123).